Density functional theory data (PBE with a Hubbard U) for a relaxed structure of MnTlIn2O6.

Crystal system: triclinic
Density in g/cm³: 7.41
E_tot in eV per atom: -5.80
Symmetry: P1, No. 1
Density of states at the Fermi level in states/eV/atom: 0.02

Cell: 5.6429 5.5101 5.8241 Å, 61.51 62.69 59.16°
Site moments in Bohr magnetons follow the coordinates.
Fractional positions:
1 O 0.4194 0.7078 0.7569  0.02
2 O 0.7330 0.0864 0.7354  -0.03
3 O 0.8948 0.6397 0.2762  -0.04
4 O 0.2205 0.9086 0.2375  0.03
5 O 0.0899 0.4450 0.7343  -0.03
6 O 0.6412 0.1961 0.2692  -0.04
7 In 0.0232 0.0320 0.9168  0.01
8 In 0.5172 0.5227 0.4476  0.01
9 Mn 0.8201 0.8171 0.5476  3.92
10 Tl 0.3024 0.3063 0.0937  0.02